# GGA-PBE Pr2Dy2Ge3, optimized geometry
# Formation enthalpy at 0 K in eV/atom: -0.60
# Raw total energy in eV/atom: -5.263
# Calculated volume in Å³/f.u.: 212.6
data_Pr2Dy2Ge3
_chemical_formula_sum 'Pr4 Dy4 Ge6'
_symmetry_space_group_name_H-M 'C 1 2/m 1'
_symmetry_Int_Tables_number 12
_symmetry_space_group_name_Hall '-C 2y'
_cell_length_a 13.328
_cell_length_b 4.185
_cell_length_c 7.753
_cell_angle_alpha 90.00
_cell_angle_beta 100.48
_cell_angle_gamma 90.00
loop_
_atom_site_label
_atom_site_fract_x
_atom_site_fract_y
_atom_site_fract_z
_atom_site_occupancy
Pr1 0.128 0.000 0.360 1
Dy1 0.133 0.500 0.905 1
Ge1 0.000 0.000 0.000 1
Ge2 0.233 0.000 0.739 1

---

# GGA-PBE Pr3Dy3Ge4, optimized geometry
# Formation enthalpy at 0 K in eV/atom: -0.77
# Raw total energy in eV/atom: -5.430
# Calculated volume in Å³/f.u.: 261.8
data_Pr3Dy3Ge4
_chemical_formula_sum 'Pr6 Dy6 Ge8'
_symmetry_space_group_name_H-M 'A m m 2'
_symmetry_Int_Tables_number 38
_symmetry_space_group_name_Hall 'A 2 -2'
_cell_length_a 4.398
_cell_length_b 10.937
_cell_length_c 10.885
_cell_angle_alpha 90.00
_cell_angle_beta 90.00
_cell_angle_gamma 90.00
loop_
_atom_site_label
_atom_site_fract_x
_atom_site_fract_y
_atom_site_fract_z
_atom_site_occupancy
Pr1 0.000 0.000 0.000 1
Pr2 0.000 0.175 0.671 1
Dy1 0.000 0.000 0.347 1
Dy2 0.500 0.250 0.423 1
Ge1 0.500 0.000 0.544 1
Ge2 0.500 0.000 0.793 1
Ge3 0.500 0.120 0.178 1

---

# GGA-PBE PrDyGe4, optimized geometry
# Formation enthalpy at 0 K in eV/atom: -0.56
# Raw total energy in eV/atom: -5.199
# Calculated volume in Å³/f.u.: 137.4
data_PrDyGe4
_chemical_formula_sum 'Pr4 Dy4 Ge16'
_symmetry_space_group_name_H-M 'P b a m'
_symmetry_Int_Tables_number 55
_symmetry_space_group_name_Hall '-P 2 2ab'
_cell_length_a 7.491
_cell_length_b 17.866
_cell_length_c 4.108
_cell_angle_alpha 90.00
_cell_angle_beta 90.00
_cell_angle_gamma 90.00
loop_
_atom_site_label
_atom_site_fract_x
_atom_site_fract_y
_atom_site_fract_z
_atom_site_occupancy
Pr1 0.168 0.189 0.000 1
Dy1 0.240 0.453 0.000 1
Ge1 0.021 0.708 0.500 1
Ge2 0.073 0.063 0.500 1
Ge3 0.079 0.565 0.500 1
Ge4 0.189 0.831 0.500 1

---

# GGA-PBE PrDy2Ge2, optimized geometry
# Formation enthalpy at 0 K in eV/atom: -0.59
# Raw total energy in eV/atom: -5.234
# Calculated volume in Å³/f.u.: 138.9
data_PrDy2Ge2
_chemical_formula_sum 'Pr2 Dy4 Ge4'
_symmetry_space_group_name_H-M 'P 1 21/m 1'
_symmetry_Int_Tables_number 11
_symmetry_space_group_name_Hall '-P 2yb'
_cell_length_a 5.720
_cell_length_b 4.578
_cell_length_c 10.824
_cell_angle_alpha 90.00
_cell_angle_beta 101.41
_cell_angle_gamma 90.00
loop_
_atom_site_label
_atom_site_fract_x
_atom_site_fract_y
_atom_site_fract_z
_atom_site_occupancy
Pr1 0.080 0.250 0.281 1
Dy1 0.246 0.250 0.956 1
Dy2 0.392 0.250 0.625 1
Ge1 0.175 0.750 0.477 1
Ge2 0.277 0.750 0.122 1

---

# GGA-PBE Pr2DyGe2, optimized geometry
# Formation enthalpy at 0 K in eV/atom: -0.71
# Raw total energy in eV/atom: -5.386
# Calculated volume in Å³/f.u.: 136.7
data_Pr2DyGe2
_chemical_formula_sum 'Pr8 Dy4 Ge8'
_symmetry_space_group_name_H-M 'C 1 2/m 1'
_symmetry_Int_Tables_number 12
_symmetry_space_group_name_Hall '-C 2y'
_cell_length_a 12.574
_cell_length_b 4.462
_cell_length_c 10.901
_cell_angle_alpha 90.00
_cell_angle_beta 116.64
_cell_angle_gamma 90.00
loop_
_atom_site_label
_atom_site_fract_x
_atom_site_fract_y
_atom_site_fract_z
_atom_site_occupancy
Pr1 0.015 0.000 0.187 1
Pr2 0.180 0.000 0.589 1
Dy1 0.222 0.500 0.864 1
Ge1 0.017 0.500 0.391 1
Ge2 0.117 0.500 0.060 1

---

# GGA-PBE Pr5DyGe4, optimized geometry
# Formation enthalpy at 0 K in eV/atom: -0.61
# Raw total energy in eV/atom: -5.304
# Calculated volume in Å³/f.u.: 289.4
data_Pr5DyGe4
_chemical_formula_sum 'Pr10 Dy2 Ge8'
_symmetry_space_group_name_H-M 'C 1 2/m 1'
_symmetry_Int_Tables_number 12
_symmetry_space_group_name_Hall '-C 2y'
_cell_length_a 15.985
_cell_length_b 5.129
_cell_length_c 7.062
_cell_angle_alpha 90.00
_cell_angle_beta 91.16
_cell_angle_gamma 90.00
loop_
_atom_site_label
_atom_site_fract_x
_atom_site_fract_y
_atom_site_fract_z
_atom_site_occupancy
Pr1 0.000 0.000 0.000 1
Pr2 0.164 0.500 0.997 1
Pr3 0.166 0.500 0.507 1
Dy1 0.000 0.000 0.500 1
Ge1 0.009 0.500 0.260 1
Ge2 0.175 0.000 0.748 1

---

# GGA-PBE Pr2DyGe2, optimized geometry
# Formation enthalpy at 0 K in eV/atom: -0.77
# Raw total energy in eV/atom: -5.449
# Calculated volume in Å³/f.u.: 133.9
data_Pr2DyGe2
_chemical_formula_sum 'Pr4 Dy2 Ge4'
_symmetry_space_group_name_H-M 'P 4/m b m'
_symmetry_Int_Tables_number 127
_symmetry_space_group_name_Hall '-P 4 2ab'
_cell_length_a 7.752
_cell_length_b 7.752
_cell_length_c 4.456
_cell_angle_alpha 90.00
_cell_angle_beta 90.00
_cell_angle_gamma 90.00
loop_
_atom_site_label
_atom_site_fract_x
_atom_site_fract_y
_atom_site_fract_z
_atom_site_occupancy
Pr1 0.175 0.325 0.000 1
Dy1 0.000 0.000 0.500 1
Ge1 0.122 0.622 0.500 1

---

# GGA-PBE Pr2DyGe3Pt4, optimized geometry
# Formation enthalpy at 0 K in eV/atom: -0.97
# Raw total energy in eV/atom: -6.185
# Calculated volume in Å³/f.u.: 210.1
data_Pr2DyGe3Pt4
_chemical_formula_sum 'Pr2 Dy1 Ge3 Pt4'
_symmetry_space_group_name_H-M 'P -4 m 2'
_symmetry_Int_Tables_number 115
_symmetry_space_group_name_Hall 'P -4 -2'
_cell_length_a 4.352
_cell_length_b 4.352
_cell_length_c 11.093
_cell_angle_alpha 90.00
_cell_angle_beta 90.00
_cell_angle_gamma 90.00
loop_
_atom_site_label
_atom_site_fract_x
_atom_site_fract_y
_atom_site_fract_z
_atom_site_occupancy
Pr1 0.000 0.500 0.223 1
Dy1 0.000 0.000 0.500 1
Ge1 0.000 0.500 0.879 1
Ge2 0.500 0.500 0.500 1
Pt1 0.000 0.000 0.000 1
Pt2 0.000 0.500 0.656 1
Pt3 0.500 0.500 0.000 1

---

# GGA-PBE PrDyGePt, optimized geometry
# Formation enthalpy at 0 K in eV/atom: -0.86
# Raw total energy in eV/atom: -5.866
# Calculated volume in Å³/f.u.: 94.6
data_PrDyGePt
_chemical_formula_sum 'Pr4 Dy4 Ge4 Pt4'
_symmetry_space_group_name_H-M 'F -4 3 m'
_symmetry_Int_Tables_number 216
_symmetry_space_group_name_Hall 'F -4 2 3'
_cell_length_a 7.233
_cell_length_b 7.233
_cell_length_c 7.233
_cell_angle_alpha 90.00
_cell_angle_beta 90.00
_cell_angle_gamma 90.00
loop_
_atom_site_label
_atom_site_fract_x
_atom_site_fract_y
_atom_site_fract_z
_atom_site_occupancy
Pr1 0.000 0.000 0.000 1
Dy1 0.000 0.000 0.500 1
Ge1 0.250 0.250 0.250 1
Pt1 0.250 0.250 0.750 1

---

# GGA-PBE PrDyGePt, optimized geometry
# Formation enthalpy at 0 K in eV/atom: -1.01
# Raw total energy in eV/atom: -6.022
# Calculated volume in Å³/f.u.: 97.0
data_PrDyGePt
_chemical_formula_sum 'Pr2 Dy2 Ge2 Pt2'
_symmetry_space_group_name_H-M 'A m m 2'
_symmetry_Int_Tables_number 38
_symmetry_space_group_name_Hall 'A 2 -2'
_cell_length_a 4.291
_cell_length_b 4.044
_cell_length_c 11.179
_cell_angle_alpha 90.00
_cell_angle_beta 90.00
_cell_angle_gamma 90.00
loop_
_atom_site_label
_atom_site_fract_x
_atom_site_fract_y
_atom_site_fract_z
_atom_site_occupancy
Pr1 0.000 0.000 0.000 1
Dy1 0.500 0.000 0.723 1
Ge1 0.500 0.000 0.432 1
Pt1 0.000 0.000 0.272 1

---

# GGA-PBE PrDyGe2Pt5, optimized geometry
# Formation enthalpy at 0 K in eV/atom: -0.87
# Raw total energy in eV/atom: -6.291
# Calculated volume in Å³/f.u.: 169.6
data_PrDyGe2Pt5
_chemical_formula_sum 'Pr1 Dy1 Ge2 Pt5'
_symmetry_space_group_name_H-M 'P 4/m m m'
_symmetry_Int_Tables_number 123
_symmetry_space_group_name_Hall '-P 4 2'
_cell_length_a 4.334
_cell_length_b 4.334
_cell_length_c 9.031
_cell_angle_alpha 90.00
_cell_angle_beta 90.00
_cell_angle_gamma 90.00
loop_
_atom_site_label
_atom_site_fract_x
_atom_site_fract_y
_atom_site_fract_z
_atom_site_occupancy
Pr1 0.000 0.000 0.000 1
Dy1 0.000 0.000 0.500 1
Ge1 0.500 0.500 0.365 1
Pt1 0.000 0.500 0.234 1
Pt2 0.500 0.500 0.000 1

---

# GGA-PBE PrDy2Ge2Pt7, optimized geometry
# Formation enthalpy at 0 K in eV/atom: -0.91
# Raw total energy in eV/atom: -6.366
# Calculated volume in Å³/f.u.: 234.9
data_PrDy2Ge2Pt7
_chemical_formula_sum 'Pr2 Dy4 Ge4 Pt14'
_symmetry_space_group_name_H-M 'C 1 2/m 1'
_symmetry_Int_Tables_number 12
_symmetry_space_group_name_Hall '-C 2y'
_cell_length_a 5.847
_cell_length_b 5.762
_cell_length_c 14.141
_cell_angle_alpha 90.00
_cell_angle_beta 99.51
_cell_angle_gamma 90.00
loop_
_atom_site_label
_atom_site_fract_x
_atom_site_fract_y
_atom_site_fract_z
_atom_site_occupancy
Pr1 0.000 0.000 0.000 1
Dy1 0.126 0.000 0.360 1
Ge1 0.106 0.500 0.262 1
Pt1 0.000 0.500 0.000 1
Pt2 0.138 0.500 0.434 1
Pt3 0.184 0.250 0.838 1

---

# GGA-PBE Pr2DyGe3Rh4, optimized geometry
# Formation enthalpy at 0 K in eV/atom: -0.88
# Raw total energy in eV/atom: -6.618
# Calculated volume in Å³/f.u.: 198.6
data_Pr2DyGe3Rh4
_chemical_formula_sum 'Pr2 Dy1 Ge3 Rh4'
_symmetry_space_group_name_H-M 'P -4 m 2'
_symmetry_Int_Tables_number 115
_symmetry_space_group_name_Hall 'P -4 -2'
_cell_length_a 4.211
_cell_length_b 4.211
_cell_length_c 11.203
_cell_angle_alpha 90.00
_cell_angle_beta 90.00
_cell_angle_gamma 90.00
loop_
_atom_site_label
_atom_site_fract_x
_atom_site_fract_y
_atom_site_fract_z
_atom_site_occupancy
Pr1 0.000 0.500 0.230 1
Dy1 0.000 0.000 0.500 1
Ge1 0.000 0.500 0.879 1
Ge2 0.500 0.500 0.500 1
Rh1 0.000 0.000 0.000 1
Rh2 0.000 0.500 0.657 1
Rh3 0.500 0.500 0.000 1

---

# GGA-PBE PrDyGeRh, optimized geometry
# Formation enthalpy at 0 K in eV/atom: -0.80
# Raw total energy in eV/atom: -6.139
# Calculated volume in Å³/f.u.: 94.5
data_PrDyGeRh
_chemical_formula_sum 'Pr2 Dy2 Ge2 Rh2'
_symmetry_space_group_name_H-M 'A m m 2'
_symmetry_Int_Tables_number 38
_symmetry_space_group_name_Hall 'A 2 -2'
_cell_length_a 4.212
_cell_length_b 4.203
_cell_length_c 10.673
_cell_angle_alpha 90.00
_cell_angle_beta 90.00
_cell_angle_gamma 90.00
loop_
_atom_site_label
_atom_site_fract_x
_atom_site_fract_y
_atom_site_fract_z
_atom_site_occupancy
Pr1 0.000 0.000 0.000 1
Dy1 0.500 0.000 0.719 1
Ge1 0.500 0.000 0.424 1
Rh1 0.000 0.000 0.274 1

---

# GGA-PBE PrDyGe2Rh5, optimized geometry
# Formation enthalpy at 0 K in eV/atom: -0.67
# Raw total energy in eV/atom: -6.826
# Calculated volume in Å³/f.u.: 160.9
data_PrDyGe2Rh5
_chemical_formula_sum 'Pr1 Dy1 Ge2 Rh5'
_symmetry_space_group_name_H-M 'P 4/m m m'
_symmetry_Int_Tables_number 123
_symmetry_space_group_name_Hall '-P 4 2'
_cell_length_a 4.223
_cell_length_b 4.223
_cell_length_c 9.021
_cell_angle_alpha 90.00
_cell_angle_beta 90.00
_cell_angle_gamma 90.00
loop_
_atom_site_label
_atom_site_fract_x
_atom_site_fract_y
_atom_site_fract_z
_atom_site_occupancy
Pr1 0.000 0.000 0.000 1
Dy1 0.000 0.000 0.500 1
Ge1 0.500 0.500 0.361 1
Rh1 0.000 0.500 0.235 1
Rh2 0.500 0.500 0.000 1

---

# GGA-PBE PrDyGeRh, optimized geometry
# Formation enthalpy at 0 K in eV/atom: -0.64
# Raw total energy in eV/atom: -5.975
# Calculated volume in Å³/f.u.: 91.7
data_PrDyGeRh
_chemical_formula_sum 'Pr4 Dy4 Ge4 Rh4'
_symmetry_space_group_name_H-M 'F -4 3 m'
_symmetry_Int_Tables_number 216
_symmetry_space_group_name_Hall 'F -4 2 3'
_cell_length_a 7.157
_cell_length_b 7.157
_cell_length_c 7.157
_cell_angle_alpha 90.00
_cell_angle_beta 90.00
_cell_angle_gamma 90.00
loop_
_atom_site_label
_atom_site_fract_x
_atom_site_fract_y
_atom_site_fract_z
_atom_site_occupancy
Pr1 0.000 0.000 0.000 1
Dy1 0.000 0.000 0.500 1
Ge1 0.250 0.250 0.250 1
Rh1 0.250 0.250 0.750 1

---

# GGA-PBE PrDyGeRu, optimized geometry
# Formation enthalpy at 0 K in eV/atom: -0.56
# Raw total energy in eV/atom: -6.381
# Calculated volume in Å³/f.u.: 94.7
data_PrDyGeRu
_chemical_formula_sum 'Pr2 Dy2 Ge2 Ru2'
_symmetry_space_group_name_H-M 'A m m 2'
_symmetry_Int_Tables_number 38
_symmetry_space_group_name_Hall 'A 2 -2'
_cell_length_a 3.864
_cell_length_b 4.346
_cell_length_c 11.276
_cell_angle_alpha 90.00
_cell_angle_beta 90.00
_cell_angle_gamma 90.00
loop_
_atom_site_label
_atom_site_fract_x
_atom_site_fract_y
_atom_site_fract_z
_atom_site_occupancy
Pr1 0.000 0.000 0.000 1
Dy1 0.500 0.000 0.720 1
Ge1 0.500 0.000 0.411 1
Ru1 0.000 0.000 0.264 1

---

# GGA-PBE PrDyGeS, optimized geometry
# Raw total energy in eV/atom: -5.966
# Calculated volume in Å³/f.u.: 100.6
# Formation energy from raw total energies in eV/atom: -1.434
data_PrDyGeS
_chemical_formula_sum 'Pr3 Dy3 Ge3 S3'
_symmetry_space_group_name_H-M 'R 3 m'
_symmetry_Int_Tables_number 160
_symmetry_space_group_name_Hall 'R 3 -2"'
_cell_length_a 4.1363
_cell_length_b 4.1363
_cell_length_c 20.3774
_cell_angle_alpha 90.00
_cell_angle_beta 90.00
_cell_angle_gamma 120.00
loop_
_atom_site_label
_atom_site_fract_x
_atom_site_fract_y
_atom_site_fract_z
_atom_site_occupancy
Pr1 0.0000 0.0000 0.0000 1
Dy1 0.0000 0.0000 0.5006 1
Ge1 0.0000 0.0000 0.7537 1
S1 0.0000 0.0000 0.2457 1

---

# GGA-PBE PrDyGeSe, optimized geometry
# Raw total energy in eV/atom: -5.751
# Calculated volume in Å³/f.u.: 107.0
# Formation energy from raw total energies in eV/atom: -1.380
data_PrDyGeSe
_chemical_formula_sum 'Pr3 Dy3 Ge3 Se3'
_symmetry_space_group_name_H-M 'R 3 m'
_symmetry_Int_Tables_number 160
_symmetry_space_group_name_Hall 'R 3 -2"'
_cell_length_a 4.2187
_cell_length_b 4.2187
_cell_length_c 20.8195
_cell_angle_alpha 90.00
_cell_angle_beta 90.00
_cell_angle_gamma 120.00
loop_
_atom_site_label
_atom_site_fract_x
_atom_site_fract_y
_atom_site_fract_z
_atom_site_occupancy
Pr1 0.0000 0.0000 0.0000 1
Dy1 0.0000 0.0000 0.4928 1
Ge1 0.0000 0.0000 0.7496 1
Se1 0.0000 0.0000 0.2418 1

---

# GGA-PBE PrDyTlGe, optimized geometry
# Formation enthalpy at 0 K in eV/atom: -0.43
# Raw total energy in eV/atom: -4.524
# Calculated volume in Å³/f.u.: 106.4
data_PrDyTlGe
_chemical_formula_sum 'Pr4 Dy4 Tl4 Ge4'
_symmetry_space_group_name_H-M 'F -4 3 m'
_symmetry_Int_Tables_number 216
_symmetry_space_group_name_Hall 'F -4 2 3'
_cell_length_a 7.523
_cell_length_b 7.523
_cell_length_c 7.523
_cell_angle_alpha 90.00
_cell_angle_beta 90.00
_cell_angle_gamma 90.00
loop_
_atom_site_label
_atom_site_fract_x
_atom_site_fract_y
_atom_site_fract_z
_atom_site_occupancy
Pr1 0.000 0.000 0.000 1
Dy1 0.000 0.000 0.500 1
Tl1 0.250 0.250 0.250 1
Ge1 0.250 0.250 0.750 1